Entry 1:
# KEu2Tl (PBE-GGA, optimized geometry)
data_KEu2Tl
_chemical_formula_sum 'K1 Eu2 Tl1'
_symmetry_space_group_name_H-M 'P 1'
_symmetry_Int_Tables_number 1
_cell_length_a 4.068
_cell_length_b 4.068
_cell_length_c 10.535
_cell_angle_alpha 90.00
_cell_angle_beta 90.00
_cell_angle_gamma 90.00
loop_
_symmetry_equiv_pos_as_xyz
'x,y,z'
loop_
_atom_site_label
_atom_site_type_symbol
_atom_site_fract_x
_atom_site_fract_y
_atom_site_fract_z
K1 K 0.500 0.500 0.500
Eu1 Eu 0.000 0.000 0.827
Eu2 Eu 0.000 0.000 0.173
Tl1 Tl 0.500 0.500 0.000
# Raw total energy   -6.145 eV per atom
# Energy of formation   -0.14 eV per atom

---

Entry 2:
# KEuTl (PBE-GGA, optimized geometry)
data_KEuTl
_chemical_formula_sum 'K1 Eu1 Tl1'
_symmetry_space_group_name_H-M 'P 1'
_symmetry_Int_Tables_number 1
_cell_length_a 4.170
_cell_length_b 4.170
_cell_length_c 7.955
_cell_angle_alpha 105.19
_cell_angle_beta 105.19
_cell_angle_gamma 90.00
loop_
_symmetry_equiv_pos_as_xyz
'x,y,z'
loop_
_atom_site_label
_atom_site_type_symbol
_atom_site_fract_x
_atom_site_fract_y
_atom_site_fract_z
K1 K 0.020 0.020 0.041
Tl1 Tl 0.688 0.688 0.376
Eu1 Eu 0.292 0.292 0.583
# Raw total energy   -4.693 eV per atom
# Energy of formation   -0.11 eV per atom

---

Entry 3:
# KEuTl2 (PBE-GGA, optimized geometry)
data_KEuTl2
_chemical_formula_sum 'K1 Eu1 Tl2'
_symmetry_space_group_name_H-M 'P 1'
_symmetry_Int_Tables_number 1
_cell_length_a 5.771
_cell_length_b 5.771
_cell_length_c 5.771
_cell_angle_alpha 60.00
_cell_angle_beta 60.00
_cell_angle_gamma 60.00
loop_
_symmetry_equiv_pos_as_xyz
'x,y,z'
loop_
_atom_site_label
_atom_site_type_symbol
_atom_site_fract_x
_atom_site_fract_y
_atom_site_fract_z
K1 K 0.500 0.500 0.500
Tl1 Tl 0.750 0.750 0.750
Tl2 Tl 0.250 0.250 0.250
Eu1 Eu 0.000 0.000 0.000
# Raw total energy   -4.204 eV per atom
# Energy of formation   -0.18 eV per atom

---

Entry 4:
# KEuTl2 (PBE-GGA, optimized geometry)
data_KEuTl2
_chemical_formula_sum 'K1 Eu1 Tl2'
_symmetry_space_group_name_H-M 'P 1'
_symmetry_Int_Tables_number 1
_cell_length_a 3.889
_cell_length_b 3.889
_cell_length_c 11.330
_cell_angle_alpha 80.12
_cell_angle_beta 80.12
_cell_angle_gamma 60.00
loop_
_symmetry_equiv_pos_as_xyz
'x,y,z'
loop_
_atom_site_label
_atom_site_type_symbol
_atom_site_fract_x
_atom_site_fract_y
_atom_site_fract_z
Tl1 Tl 0.745 0.745 0.766
Tl2 Tl 0.255 0.255 0.234
K1 K 0.500 0.500 0.500
Eu1 Eu 0.000 0.000 0.000
# Raw total energy   -4.127 eV per atom
# Energy of formation   -0.10 eV per atom

---

Entry 5:
# KEuTl2 (PBE-GGA, optimized geometry)
data_KEuTl2
_chemical_formula_sum 'K1 Eu1 Tl2'
_symmetry_space_group_name_H-M 'P 1'
_symmetry_Int_Tables_number 1
_cell_length_a 4.055
_cell_length_b 4.055
_cell_length_c 8.510
_cell_angle_alpha 90.00
_cell_angle_beta 90.00
_cell_angle_gamma 90.00
loop_
_symmetry_equiv_pos_as_xyz
'x,y,z'
loop_
_atom_site_label
_atom_site_type_symbol
_atom_site_fract_x
_atom_site_fract_y
_atom_site_fract_z
Eu1 Eu 0.500 0.500 0.000
Tl1 Tl 0.000 0.000 0.218
Tl2 Tl 0.000 0.000 0.782
K1 K 0.500 0.500 0.500
# Raw total energy   -4.250 eV per atom
# Energy of formation   -0.22 eV per atom

---

Entry 6:
# KEu2Tm (PBE-GGA, optimized geometry)
data_KEu2Tm
_chemical_formula_sum 'K1 Eu2 Tm1'
_symmetry_space_group_name_H-M 'P 1'
_symmetry_Int_Tables_number 1
_cell_length_a 3.790
_cell_length_b 3.790
_cell_length_c 12.172
_cell_angle_alpha 90.00
_cell_angle_beta 90.00
_cell_angle_gamma 90.00
loop_
_symmetry_equiv_pos_as_xyz
'x,y,z'
loop_
_atom_site_label
_atom_site_type_symbol
_atom_site_fract_x
_atom_site_fract_y
_atom_site_fract_z
K1 K 0.500 0.500 0.500
Tm1 Tm 0.500 0.500 0.000
Eu1 Eu 0.000 0.000 0.208
Eu2 Eu 0.000 0.000 0.792
# Raw total energy   -6.365 eV per atom
# Energy of formation   0.16 eV per atom

---

Entry 7:
# KEu2Tm (PBE-GGA, optimized geometry)
data_KEu2Tm
_chemical_formula_sum 'K1 Eu2 Tm1'
_symmetry_space_group_name_H-M 'P 1'
_symmetry_Int_Tables_number 1
_cell_length_a 3.788
_cell_length_b 3.788
_cell_length_c 13.988
_cell_angle_alpha 82.22
_cell_angle_beta 82.22
_cell_angle_gamma 60.00
loop_
_symmetry_equiv_pos_as_xyz
'x,y,z'
loop_
_atom_site_label
_atom_site_type_symbol
_atom_site_fract_x
_atom_site_fract_y
_atom_site_fract_z
Eu1 Eu 0.904 0.904 0.287
Eu2 Eu 0.096 0.096 0.713
Tm1 Tm 0.500 0.500 0.500
K1 K 0.000 0.000 0.000
# Raw total energy   -6.339 eV per atom
# Energy of formation   0.19 eV per atom

---

Entry 8:
# KEu2Y (PBE-GGA, optimized geometry)
data_KEu2Y
_chemical_formula_sum 'K1 Eu2 Y1'
_symmetry_space_group_name_H-M 'P 1'
_symmetry_Int_Tables_number 1
_cell_length_a 3.820
_cell_length_b 3.820
_cell_length_c 12.249
_cell_angle_alpha 90.00
_cell_angle_beta 90.00
_cell_angle_gamma 90.00
loop_
_symmetry_equiv_pos_as_xyz
'x,y,z'
loop_
_atom_site_label
_atom_site_type_symbol
_atom_site_fract_x
_atom_site_fract_y
_atom_site_fract_z
Eu1 Eu 0.000 0.000 0.210
Eu2 Eu 0.000 0.000 0.790
K1 K 0.500 0.500 0.500
Y1 Y 0.500 0.500 0.000
# Raw total energy   -6.875 eV per atom
# Energy of formation   0.15 eV per atom

---

Entry 9:
# KEu2Zn (PBE-GGA, optimized geometry)
data_KEu2Zn
_chemical_formula_sum 'K1 Eu2 Zn1'
_symmetry_space_group_name_H-M 'P 1'
_symmetry_Int_Tables_number 1
_cell_length_a 3.858
_cell_length_b 3.858
_cell_length_c 10.637
_cell_angle_alpha 90.00
_cell_angle_beta 90.00
_cell_angle_gamma 90.00
loop_
_symmetry_equiv_pos_as_xyz
'x,y,z'
loop_
_atom_site_label
_atom_site_type_symbol
_atom_site_fract_x
_atom_site_fract_y
_atom_site_fract_z
Eu1 Eu 0.000 0.000 0.833
Eu2 Eu 0.000 0.000 0.167
Zn1 Zn 0.500 0.500 0.000
K1 K 0.500 0.500 0.500
# Raw total energy   -5.778 eV per atom
# Energy of formation   -0.05 eV per atom

---

Entry 10:
# KEu2Zn (PBE-GGA, optimized geometry)
data_KEu2Zn
_chemical_formula_sum 'K1 Eu2 Zn1'
_symmetry_space_group_name_H-M 'P 1'
_symmetry_Int_Tables_number 1
_cell_length_a 4.127
_cell_length_b 4.127
_cell_length_c 11.926
_cell_angle_alpha 80.04
_cell_angle_beta 80.04
_cell_angle_gamma 60.00
loop_
_symmetry_equiv_pos_as_xyz
'x,y,z'
loop_
_atom_site_label
_atom_site_type_symbol
_atom_site_fract_x
_atom_site_fract_y
_atom_site_fract_z
Zn1 Zn 0.000 0.000 0.000
Eu1 Eu 0.725 0.725 0.824
Eu2 Eu 0.275 0.275 0.176
K1 K 0.500 0.500 0.500
# Raw total energy   -5.694 eV per atom
# Energy of formation   0.04 eV per atom

---

Entry 11:
# KEu3Zn (PBE-GGA, optimized geometry)
data_KEu3Zn
_chemical_formula_sum 'K1 Eu3 Zn1'
_symmetry_space_group_name_H-M 'P 1'
_symmetry_Int_Tables_number 1
_cell_length_a 6.142
_cell_length_b 6.142
_cell_length_c 6.142
_cell_angle_alpha 90.00
_cell_angle_beta 90.00
_cell_angle_gamma 90.00
loop_
_symmetry_equiv_pos_as_xyz
'x,y,z'
loop_
_atom_site_label
_atom_site_type_symbol
_atom_site_fract_x
_atom_site_fract_y
_atom_site_fract_z
K1 K 0.500 0.500 0.500
Eu1 Eu 0.000 0.000 0.500
Eu2 Eu 0.000 0.500 0.000
Eu3 Eu 0.500 0.000 0.000
Zn1 Zn 0.000 0.000 0.000
# Raw total energy   -6.572 eV per atom
# Energy of formation   0.07 eV per atom

---

Entry 12:
# La2Eu (PBE-GGA, optimized geometry)
data_La2Eu
_chemical_formula_sum 'La2 Eu1'
_symmetry_space_group_name_H-M 'P 1'
_symmetry_Int_Tables_number 1
_cell_length_a 3.782
_cell_length_b 3.782
_cell_length_c 8.496
_cell_angle_alpha 102.86
_cell_angle_beta 102.86
_cell_angle_gamma 90.00
loop_
_symmetry_equiv_pos_as_xyz
'x,y,z'
loop_
_atom_site_label
_atom_site_type_symbol
_atom_site_fract_x
_atom_site_fract_y
_atom_site_fract_z
Eu1 Eu 0.000 0.000 0.000
La1 La 0.327 0.327 0.655
La2 La 0.673 0.673 0.345
# Raw total energy   -6.690 eV per atom
# Energy of formation   0.02 eV per atom

---

Entry 13:
# La2Eu (PBE-GGA, optimized geometry)
data_La2Eu
_chemical_formula_sum 'La4 Eu2'
_symmetry_space_group_name_H-M 'P 1'
_symmetry_Int_Tables_number 1
_cell_length_a 6.987
_cell_length_b 6.987
_cell_length_c 6.987
_cell_angle_alpha 60.00
_cell_angle_beta 60.00
_cell_angle_gamma 60.00
loop_
_symmetry_equiv_pos_as_xyz
'x,y,z'
loop_
_atom_site_label
_atom_site_type_symbol
_atom_site_fract_x
_atom_site_fract_y
_atom_site_fract_z
La1 La 0.625 0.625 0.125
La2 La 0.625 0.125 0.625
La3 La 0.125 0.625 0.625
La4 La 0.625 0.625 0.625
Eu1 Eu 0.000 0.000 0.000
Eu2 Eu 0.250 0.250 0.250
# Raw total energy   -6.526 eV per atom
# Energy of formation   0.18 eV per atom

---

Entry 14:
# La5Eu (PBE-GGA, optimized geometry)
data_La5Eu
_chemical_formula_sum 'La5 Eu1'
_symmetry_space_group_name_H-M 'P 1'
_symmetry_Int_Tables_number 1
_cell_length_a 6.091
_cell_length_b 6.261
_cell_length_c 6.702
_cell_angle_alpha 117.85
_cell_angle_beta 90.00
_cell_angle_gamma 90.00
loop_
_symmetry_equiv_pos_as_xyz
'x,y,z'
loop_
_atom_site_label
_atom_site_type_symbol
_atom_site_fract_x
_atom_site_fract_y
_atom_site_fract_z
Eu1 Eu 0.000 0.000 0.000
La1 La 0.000 0.348 0.696
La2 La 0.000 0.652 0.304
La3 La 0.500 0.184 0.368
La4 La 0.500 0.500 0.000
La5 La 0.500 0.816 0.632
# Raw total energy   -5.708 eV per atom
# Energy of formation   0.11 eV per atom

---

Entry 15:
# LiLaEuLu (PBE-GGA, optimized geometry)
data_LiLaEuLu
_chemical_formula_sum 'Li1 La1 Eu1 Lu1'
_symmetry_space_group_name_H-M 'P 1'
_symmetry_Int_Tables_number 1
_cell_length_a 5.687
_cell_length_b 5.687
_cell_length_c 5.687
_cell_angle_alpha 60.00
_cell_angle_beta 60.00
_cell_angle_gamma 60.00
loop_
_symmetry_equiv_pos_as_xyz
'x,y,z'
loop_
_atom_site_label
_atom_site_type_symbol
_atom_site_fract_x
_atom_site_fract_y
_atom_site_fract_z
Li1 Li 0.000 0.000 0.000
Lu1 Lu 0.500 0.500 0.500
Eu1 Eu 0.250 0.250 0.250
La1 La 0.750 0.750 0.750
# Raw total energy   -5.227 eV per atom
# Energy of formation   0.18 eV per atom